[1]
Below is Li3V4O8 after structural relaxation, with properties calculated at the PBEsol level.

Raw formation energy in eV/atom: -2.2641

Cell: 5.6779 5.6779 14.7089 Å, 90.00 90.00 120.00°
Space group R3m (No. 160, hexagonal axes)
One atom of each set of equivalent atoms:
Li: 0.0000 0.0000 0.0000 x3
Li: 0.0000 0.0000 0.1430 x3
Li: 0.0000 0.0000 0.8553 x3
V: 0.0000 0.0000 0.5002 x3
V: 0.1735 0.3470 0.3286 x9
O: 0.0000 0.0000 0.2647 x3
O: 0.0000 0.0000 0.7371 x3
O: 0.0065 0.5032 0.2502 x9
O: 0.1771 0.3541 0.0751 x9

=====

[2]
Below is NaBe3Ir after structural relaxation, with properties calculated at the PBEsol level.

ΔH_f (0 K) in eV per atom: 1.768

Cell: 3.9372 3.9372 3.9372 Å, 90.00 90.00 90.00°
Space group Pm-3m (No. 221)
One atom of each set of equivalent atoms:
Na: 0.0000 0.0000 0.0000 x1
Be: 0.0000 0.0000 0.5000 x3
Ir: 0.5000 0.5000 0.5000 x1

=====

[3]
Below is SiPRh2 after structural relaxation, with properties calculated at the PBEsol level.

Raw formation energy in eV/atom: -0.3663

Cell: 3.4640 3.4640 8.6912 Å, 90.00 90.00 90.00°
Space group I-4m2 (No. 119)
One atom of each set of equivalent atoms:
Si: 0.0000 0.0000 0.0000 x2
P: 0.0000 0.5000 0.2500 x2
Rh: 0.0000 0.0000 0.5000 x2
Rh: 0.0000 0.5000 0.7500 x2

=====

[4]
Below is Ag2BiSbTe2Se2 after structural relaxation, with properties calculated at the PBEsol level.

Raw formation energy in eV/atom: -0.1084

Cell: 5.8862 5.9225 11.7420 Å, 90.00 90.00 90.00°
Space group Imm2 (No. 44)
One atom of each set of equivalent atoms:
Ag: 0.0000 0.0000 0.0000 x2
Ag: 0.0000 0.5000 0.2492 x2
Bi: 0.0000 0.5000 0.7314 x2
Sb: 0.0000 0.0000 0.4833 x2
Te: 0.0000 0.0000 0.7515 x2
Te: 0.0000 0.5000 0.0031 x2
Se: 0.0000 0.0000 0.2457 x2
Se: 0.0000 0.5000 0.4875 x2

=====

[5]
Below is Tl2ZnPt after structural relaxation, with properties calculated at the PBEsol level.

ΔH_f (0 K) in eV per atom: 0.050

Cell: 3.0134 4.8550 11.2908 Å, 90.00 90.00 90.00°
Space group Imm2 (No. 44)
One atom of each set of equivalent atoms:
Tl: 0.0000 0.0000 0.0000 x2
Tl: 0.0000 0.5000 0.1983 x2
Zn: 0.0000 0.5000 0.7744 x2
Pt: 0.0000 0.0000 0.4567 x2

=====

[6]
Below is Ba2TaRu after structural relaxation, with properties calculated at the PBEsol level.

ΔH_f (0 K) in eV per atom: 1.180

Cell: 4.1966 4.1966 5.5837 Å, 90.00 90.00 90.00°
Space group P4/mmm (No. 123)
One atom of each set of equivalent atoms:
Ba: 0.0000 0.5000 0.0000 x2
Ta: 0.0000 0.0000 0.5000 x1
Ru: 0.5000 0.5000 0.5000 x1

=====

[7]
Below is TmPd3 after structural relaxation, with properties calculated at the PBEsol level.

ΔH_f (0 K) in eV per atom: -0.929

Cell: 4.0180 4.0180 4.0180 Å, 90.00 90.00 90.00°
Space group Pm-3m (No. 221)
One atom of each set of equivalent atoms:
Tm: 0.0000 0.0000 0.0000 x1
Pd: 0.0000 0.5000 0.5000 x3

=====

[8]
Below is TaAlPt2I after structural relaxation, with properties calculated at the PBEsol level.

Raw formation energy in eV/atom: 1.5591

Cell: 4.8621 4.8621 5.0385 Å, 90.00 90.00 90.00°
Space group P4/mmm (No. 123)
One atom of each set of equivalent atoms:
Ta: 0.0000 0.0000 0.0000 x1
Al: 0.5000 0.5000 0.0000 x1
Pt: 0.0000 0.5000 0.5000 x2
I: 0.0000 0.0000 0.5000 x1

=====

[9]
Below is CaSi2Ir after structural relaxation, with properties calculated at the PBEsol level.

Raw formation energy in eV/atom: -0.0299

Cell: 3.9523 3.9523 8.2354 Å, 90.00 90.00 90.00°
Space group I-4m2 (No. 119)
One atom of each set of equivalent atoms:
Ca: 0.0000 0.0000 0.0000 x2
Si: 0.0000 0.0000 0.5000 x2
Si: 0.0000 0.5000 0.7500 x2
Ir: 0.0000 0.5000 0.2500 x2

=====

[10]
Below is CoGe3H after structural relaxation, with properties calculated at the PBEsol level.

VASP energy in eV per atom: -4.679

Cell: 4.4145 4.4145 4.4145 Å, 90.00 90.00 90.00°
Space group Pm-3m (No. 221)
One atom of each set of equivalent atoms:
Co: 0.0000 0.0000 0.0000 x1
Ge: 0.0000 0.0000 0.5000 x3
H: 0.5000 0.5000 0.5000 x1

=====

[11]
Below is NaSrSc2Cu after structural relaxation, with properties calculated at the PBEsol level.

ΔH_f (0 K) in eV per atom: 0.304

Cell: 5.0686 5.0686 5.9032 Å, 90.00 90.00 90.00°
Space group P4/mmm (No. 123)
One atom of each set of equivalent atoms:
Na: 0.0000 0.0000 0.0000 x1
Sr: 0.5000 0.5000 0.0000 x1
Sc: 0.0000 0.5000 0.5000 x2
Cu: 0.5000 0.5000 0.5000 x1

=====

[12]
Below is CdHRh3 after structural relaxation, with properties calculated at the PBEsol level.

VASP energy in eV per atom: -5.805

Cell: 3.9297 3.9297 3.9297 Å, 90.00 90.00 90.00°
Space group Pm-3m (No. 221)
One atom of each set of equivalent atoms:
Cd: 0.0000 0.0000 0.0000 x1
H: 0.5000 0.5000 0.5000 x1
Rh: 0.0000 0.5000 0.5000 x3

=====

Looking at density of states at the Fermi level for the records above, in order, we have 12.1 2.2 3.4 3.9 2.9 3.5 2.6 3.5 4.7 4.1 7.1 3.8 states/eV per cell.